A plane-wave DFT calculation with GGA-PBE was carried out for an optimized crystal structure of InAsAu2.

a = 8.7012 Å, b = 8.7012 Å, c = 8.7012 Å
α = 146.71°, β = 146.71°, γ = 47.80°
Closest atoms and distances in Å follow each position.
Atoms (fractional coordinates):
1 In 0.0000 0.0000 0.0000  4 Au 2.83
2 In 0.7500 0.2500 0.5000  4 Au 2.83
3 As 0.2500 0.7500 0.5000  4 Au 2.52
4 As 0.5000 0.5000 0.0000  4 Au 2.52
5 Au 0.1912 0.6250 0.0662  2 As 2.52
6 Au 0.3750 0.4412 0.5662  2 As 2.52
7 Au 0.5588 0.1250 0.9338  2 As 2.52
8 Au 0.8750 0.8088 0.4338  2 As 2.52

Computed properties:
**DFT formation energy**: -10 meV/atom
**Uncorrected energy**: -3.496 eV per atom
**Density**: 9.80 g/cm³
**Space-group type**: I-42d (122)